(1)
VASP calculation (PBE) on an optimized crystal structure of LaBeHg2.

Calculated values
N(E_F): 0.78 states/eV/atom
V: 23.7 Å³/atom
Calculated formation energy: -0.11 eV per atom
E_tot: -9.7 eV/cell
Spin magnetization: 0.00 μB per formula unit
Space-group type: C2/m

Unit cell a=4.401 b=4.401 c=6.195 alpha=69.06 beta=69.06 gamma=60.02
Element x y z (fractional)
Be: 0.250 0.250 0.250
La: 0.750 0.750 0.750
Hg: 0.967 0.967 0.101
Hg: 0.533 0.533 0.399



(2)
VASP calculation (PBE) on an optimized crystal structure of LaBeHg2.

Calculated values
N(E_F): 0.62 states/eV/atom
V: 24.0 Å³/atom
Calculated formation energy: -0.01 eV per atom
E_tot: -9.3 eV/cell
Spin magnetization: 0.00 μB per formula unit
Space-group type: Pm

Unit cell a=4.231 b=3.847 c=6.210 alpha=72.03 beta=90.00 gamma=90.00
Element x y z (fractional)
Hg: 0.500 0.209 0.206
Hg: 0.000 0.823 0.978
Be: 0.500 0.923 0.781
La: 0.000 0.545 0.534